1.
## CdSbBr4 (PBE)

Data for a relaxed CdSbBr4 crystal.

Output
E_form (uncorrected)   0.560 eV per atom
Total magnetization   0.00 μB per formula unit
Density of states at the Fermi level   1.38 states/eV per atom

abc: 8.8904 8.8904 8.8904
angles: 90.00 90.00 90.00
Last column: nearest neighbours and their distance in Å.
Space group F-43m (No. 216)
Unique sites:
Cd 0.0000 0.0000 0.0000  12 Br 3.69, 4 Sb 3.85
Sb 0.2500 0.2500 0.7500  12 Br 3.69, 4 Cd 3.85
Br 0.1250 0.1250 0.3750  6 Br 3.14



2.
## LaEr2Bi (PBE)

Data for a relaxed LaEr2Bi crystal.

Output
Total magnetization   0.00 μB per formula unit
Density of states at the Fermi level   1.39 states/eV per atom
Energy above the most stable polymorph in this dataset   0.038 eV/atom

abc: 4.0285 4.0285 7.5614
angles: 90.00 90.00 90.00
Last column: nearest neighbours and their distance in Å.
Space group P4/mmm (No. 123)
Unique sites:
La 0.0000 0.0000 0.0000  8 Er 3.55, 2 Bi 3.78
Er 0.5000 0.5000 0.2805  4 Bi 3.30, 1 Er 3.32, 4 La 3.55
Bi 0.0000 0.0000 0.5000  8 Er 3.30



3.
## Hf6TiBi2 (PBE)

Data for a relaxed Hf6TiBi2 crystal.

Output
Total magnetization   0.72 μB per formula unit
Density of states at the Fermi level   0.79 states/eV per atom
VASP energy   -8.327 eV per atom

abc: 14.9928 3.1482 10.6884
angles: 90.00 123.70 90.00
Last column: nearest neighbours and their distance in Å.
Space group C2/m (No. 12)
Unique sites:
Hf 0.0591 0.0000 0.2561  9 Hf 3.04-3.31, 1 Ti 3.18, 2 Bi 3.29
Hf 0.1156 0.5000 0.0613  6 Hf 2.95-3.15, 1 Bi 3.21
Hf 0.2234 0.0000 0.5945  1 Ti 2.91, 8 Hf 3.00-3.15
Ti 0.0000 0.0000 0.5000  4 Hf 2.91-3.18, 4 Bi 3.07, 2 Ti 3.15
Bi 0.1498 0.5000 0.7908  2 Ti 3.07, 2 Bi 3.15, 7 Hf 3.21-3.34



4.
## Be3Tc4 (PBE)

Data for a relaxed Be3Tc4 crystal.

Output
Total magnetization   0.00 μB per formula unit
Density of states at the Fermi level   0.56 states/eV per atom
Energy above the most stable polymorph in this dataset   0.134 eV/atom

abc: 2.9539 2.9539 19.5437
angles: 90.00 90.00 90.00
Last column: nearest neighbours and their distance in Å.
Space group I4/mmm (No. 139)
Unique sites:
Be 0.0000 0.0000 0.0000  8 Tc 2.52
Be 0.0000 0.0000 0.2770  4 Be 2.34, 5 Tc 2.55-2.57
Tc 0.0000 0.0000 0.1463  4 Tc 2.55, 5 Be 2.55-2.57
Tc 0.0000 0.0000 0.4282  4 Be 2.52, 5 Tc 2.55-2.81



5.
## CeTaSi2Ru (PBE)

Data for a relaxed CeTaSi2Ru crystal.

Output
E_form (uncorrected)   -0.641 eV per atom
Total magnetization   0.44 μB per formula unit
Density of states at the Fermi level   1.24 states/eV per atom

abc: 4.0401 4.0401 11.0982
angles: 90.00 90.00 90.00
Last column: nearest neighbours and their distance in Å.
Space group I-4m2 (No. 119)
Unique sites:
Ce 0.0000 0.0000 0.0000  8 Si 3.10, 4 Ta 3.43, 4 Ru 3.43
Ta 0.0000 0.5000 0.2500  4 Si 2.55, 4 Ru 2.86
Si 0.0000 0.0000 0.3910  1 Si 2.42, 2 Ta 2.55, 2 Ru 2.55
Ru 0.0000 0.5000 0.7500  4 Si 2.55, 4 Ta 2.86



6.
## Ba2LaOs (PBE)

Data for a relaxed Ba2LaOs crystal.

Output
Total magnetization   0.00 μB per formula unit
Density of states at the Fermi level   1.19 states/eV per atom
Energy above the most stable polymorph in this dataset   0.031 eV/atom

abc: 4.3747 3.9744 9.6846
angles: 90.00 103.00 90.00
Last column: nearest neighbours and their distance in Å.
Space group Pm (No. 6)
Unique sites:
Ba 0.0000 0.0000 0.0000  2 Os 3.22
Ba 0.3015 0.5000 0.6065  1 Os 3.18
La 0.6572 0.0000 0.3166  4 Os 2.99
Os 0.1333 0.5000 0.2690  4 La 2.99, 3 Ba 3.18-3.22



7.
## SrBrCl2 (PBE)

Data for a relaxed SrBrCl2 crystal.

Output
E_form (uncorrected)   -1.463 eV per atom
Total magnetization   0.00 μB per formula unit
Density of states at the Fermi level   0.54 states/eV per atom
Energy above the most stable polymorph in this dataset   0.172 eV/atom

abc: 6.9902 6.9471 4.5762
angles: 90.00 104.37 90.00
Last column: nearest neighbours and their distance in Å.
Space group C2/m (No. 12)
Unique sites:
Sr 0.0000 0.0000 0.0000  4 Cl 3.05
Br 0.0000 0.5000 0.0000  4 Cl 3.05
Cl 0.2500 0.2500 0.5000  2 Br 3.05, 2 Sr 3.05



8.
## Ca2MgBiS (PBE)

Data for a relaxed Ca2MgBiS crystal.

Output
E_form (uncorrected)   -0.928 eV per atom
Total magnetization   0.00 μB per formula unit
Density of states at the Fermi level   0.76 states/eV per atom

abc: 5.3947 5.3947 4.9336
angles: 90.00 90.00 90.00
Last column: nearest neighbours and their distance in Å.
Space group P4/mmm (No. 123)
Unique sites:
Ca 0.0000 0.5000 0.0000  2 S 2.70
Mg 0.0000 0.0000 0.5000  2 S 2.47
Bi 0.5000 0.5000 0.5000  8 Ca 3.66, 4 Mg 3.81
S 0.0000 0.0000 0.0000  2 Mg 2.47, 4 Ca 2.70



9.
## HoHfTcPd (PBE)

Data for a relaxed HoHfTcPd crystal.

Output
Total magnetization   0.00 μB per formula unit
Density of states at the Fermi level   0.46 states/eV per atom
VASP energy   -8.027 eV per atom

abc: 6.7136 6.7136 6.7136
angles: 90.00 90.00 90.00
Last column: nearest neighbours and their distance in Å.
Space group F-43m (No. 216)
Unique sites:
Ho 0.0000 0.0000 0.0000  4 Tc 2.91, 4 Pd 2.91
Hf 0.0000 0.0000 0.5000  4 Pd 2.91, 4 Tc 2.91
Tc 0.2500 0.2500 0.7500  4 Hf 2.91, 4 Ho 2.91
Pd 0.2500 0.2500 0.2500  4 Hf 2.91, 4 Ho 2.91



10.
## PmNd2Er (PBE)

Data for a relaxed PmNd2Er crystal.

Output
Total magnetization   0.00 μB per formula unit
Density of states at the Fermi level   1.22 states/eV per atom
Energy above the most stable polymorph in this dataset   0.000 eV/atom

abc: 3.6335 3.6335 35.3911
angles: 90.00 90.00 120.00
Last column: nearest neighbours and their distance in Å.
Space group R-3m (No. 166, hexagonal axes)
Unique sites:
Pm 0.0000 0.0000 0.0000  6 Pm 3.63, 6 Nd 3.66
Nd 0.0000 0.0000 0.2486  3 Er 3.58, 6 Nd 3.63, 3 Pm 3.66
Er 0.0000 0.0000 0.5000  6 Nd 3.58, 6 Er 3.63



11.
## CaHgAu6 (PBE)

Data for a relaxed CaHgAu6 crystal.

Output
Total magnetization   0.00 μB per formula unit
Density of states at the Fermi level   0.29 states/eV per atom
Energy above the most stable polymorph in this dataset   0.000 eV/atom

abc: 4.7973 6.8404 9.6832
angles: 90.00 90.00 90.00
Last column: nearest neighbours and their distance in Å.
Space group Amm2 (No. 38)
Unique sites:
Ca 0.0000 0.0000 0.0000  10 Au 2.93-3.12
Hg 0.5000 0.0000 0.7416  10 Au 2.91-3.13
Au 0.0000 0.0000 0.5555  8 Au 2.92-3.05, 2 Hg 3.00
Au 0.0000 0.2099 0.2772  7 Au 2.87-3.05, 2 Ca 2.93-3.04, 2 Hg 3.13
Au 0.5000 0.0000 0.1941  8 Au 2.91-3.00, 2 Ca 3.05
Au 0.5000 0.2133 0.4642  2 Hg 2.91-3.06, 7 Au 2.92-3.01, 2 Ca 3.12



12.
## CsK5Cd4 (PBE)

Data for a relaxed CsK5Cd4 crystal.

Output
Total magnetization   0.00 μB per formula unit
Density of states at the Fermi level   0.63 states/eV per atom
VASP energy   -1.027 eV per atom

abc: 22.0179 5.1934 9.7862
angles: 90.00 99.62 90.00
Last column: nearest neighbours and their distance in Å.
Space group C2/m (No. 12)
Unique sites:
Cs 0.0000 0.0000 0.0000  6 Cd 3.98-4.06
K 0.0000 0.0000 0.5000  6 Cd 3.70-3.71
K 0.1856 0.5000 0.0904  3 Cd 3.55-3.73
K 0.1874 0.5000 0.6046  4 Cd 3.56-3.83
Cd 0.0705 0.5000 0.3049  2 Cd 2.96
Cd 0.1362 0.0000 0.3234  2 Cd 2.96



13.
## TlP2SF (PBE)

Data for a relaxed TlP2SF crystal.

Output
E_form (uncorrected)   1.218 eV per atom
Total magnetization   2.26 μB per formula unit
Density of states at the Fermi level   1.10 states/eV per atom
Energy above the most stable polymorph in this dataset   0.672 eV/atom

abc: 5.3193 5.3193 5.0747
angles: 90.00 90.00 90.00
Last column: nearest neighbours and their distance in Å.
Space group P4/mmm (No. 123)
Unique sites:
Tl 0.0000 0.0000 0.0000  2 S 2.54, 4 P 2.66
P 0.0000 0.5000 0.0000  2 Tl 2.66
S 0.0000 0.0000 0.5000  2 Tl 2.54
F 0.5000 0.5000 0.5000  8 P 3.68, 4 S 3.76



14.
## CeBe3As3 (PBE)

Data for a relaxed CeBe3As3 crystal.

Output
Total magnetization   1.00 μB per formula unit
Density of states at the Fermi level   0.93 states/eV per atom
Energy above the most stable polymorph in this dataset   0.000 eV/atom

abc: 6.6557 6.6557 20.4999
angles: 90.00 90.00 120.00
Last column: nearest neighbours and their distance in Å.
Space group R-3 (No. 148, hexagonal axes)
Unique sites:
Ce 0.0000 0.0000 0.1665  6 As 2.95
Be 0.0011 0.3388 0.6255  4 As 2.30-2.35
As 0.0000 0.3255 0.4067  4 Be 2.30-2.35



15.
## Sr2CoRe (PBE)

Data for a relaxed Sr2CoRe crystal.

Output
Total magnetization   3.73 μB per formula unit
Density of states at the Fermi level   1.15 states/eV per atom
Energy above the most stable polymorph in this dataset   0.574 eV/atom

abc: 7.1685 7.1685 7.1685
angles: 90.00 90.00 90.00
Last column: nearest neighbours and their distance in Å.
Space group F-43m (No. 216)
Unique sites:
Sr 0.0000 0.0000 0.0000  4 Sr 3.10, 4 Co 3.10
Sr 0.2500 0.2500 0.2500  4 Re 3.10, 4 Sr 3.10
Co 0.2500 0.2500 0.7500  4 Sr 3.10, 4 Re 3.10
Re 0.0000 0.0000 0.5000  4 Co 3.10, 4 Sr 3.10



16.
## PmDyCdGa (PBE)

Data for a relaxed PmDyCdGa crystal.

Output
Total magnetization   0.00 μB per formula unit
Density of states at the Fermi level   0.95 states/eV per atom
Energy above the most stable polymorph in this dataset   0.017 eV/atom

abc: 7.4171 7.4171 7.4171
angles: 90.00 90.00 90.00
Last column: nearest neighbours and their distance in Å.
Space group F-43m (No. 216)
Unique sites:
Pm 0.0000 0.0000 0.0000  4 Cd 3.21, 4 Ga 3.21
Dy 0.0000 0.0000 0.5000  4 Cd 3.21, 4 Ga 3.21
Cd 0.2500 0.2500 0.7500  4 Dy 3.21, 4 Pm 3.21
Ga 0.2500 0.2500 0.2500  4 Dy 3.21, 4 Pm 3.21



17.
## TaInSb (PBE)

Data for a relaxed TaInSb crystal.

Output
E_form (uncorrected)   0.234 eV per atom
Total magnetization   0.00 μB per formula unit
Density of states at the Fermi level   0.89 states/eV per atom
Energy above the most stable polymorph in this dataset   0.108 eV/atom

abc: 3.2754 3.2754 7.2423
angles: 90.00 90.00 120.00
Last column: nearest neighbours and their distance in Å.
Space group P3m1 (No. 156)
Unique sites:
Ta 0.0000 0.0000 0.0000  3 Sb 2.88, 3 In 2.98
In 0.3333 0.6667 0.3184  3 Ta 2.98, 6 In 3.28
Sb 0.6667 0.3333 0.6998  3 Ta 2.88



18.
## AcDyY3Ho (PBE)

Data for a relaxed AcDyY3Ho crystal.

Output
Total magnetization   0.00 μB per formula unit
Density of states at the Fermi level   1.77 states/eV per atom
VASP energy   -5.223 eV per atom

abc: 23.0646 5.4106 7.0211
angles: 90.00 98.27 90.00
Last column: nearest neighbours and their distance in Å.
Space group C2/m (No. 12)
Unique sites:
Ac 0.1271 0.0000 0.4816  7 Y 3.44-3.83, 2 Ho 3.46-3.79, 2 Dy 3.81
Dy 0.0749 0.5000 0.1151  6 Y 3.54-3.66, 2 Ho 3.56, 1 Dy 3.60, 2 Ac 3.81
Y 0.0224 0.0000 0.7834  1 Y 3.35, 2 Ac 3.44-3.67, 1 Ho 3.52, 4 Dy 3.65-3.66
Y 0.1795 0.5000 0.7848  3 Ho 3.22-3.59, 2 Ac 3.55, 1 Dy 3.58
Y 0.2251 0.5000 0.3100  3 Ac 3.51-3.83, 3 Ho 3.51-3.65, 1 Dy 3.54, 6 Y 3.61-3.86
Ho 0.1673 0.0000 0.0249  6 Y 3.22-3.59, 1 Ac 3.46, 2 Dy 3.56



19.
## RbTb2CuTe4 (PBE)

Data for a relaxed RbTb2CuTe4 crystal.

Output
E_form (uncorrected)   -1.145 eV per atom
Total magnetization   0.00 μB per formula unit

abc: 4.4167 15.3554 15.5152
angles: 90.00 90.00 90.00
Last column: nearest neighbours and their distance in Å.
Space group Cmcm (No. 63)
Unique sites:
Rb 0.0000 0.1123 0.2500  6 Te 3.54-3.62
Tb 0.0000 0.3660 0.0645  6 Te 3.05-3.18
Cu 0.0000 0.1613 0.7500  4 Te 2.64-2.67
Te 0.0000 0.0000 0.0000  4 Tb 3.18
Te 0.0000 0.2639 0.6113  1 Cu 2.67
Te 0.0000 0.4324 0.2500  2 Cu 2.64



20.
## Ga3SnPd (PBE)

Data for a relaxed Ga3SnPd crystal.

Output
Total magnetization   0.00 μB per formula unit
Density of states at the Fermi level   0.25 states/eV per atom
Energy above the most stable polymorph in this dataset   0.000 eV/atom

abc: 6.5412 3.9348 8.0562
angles: 90.00 111.68 90.00
Last column: nearest neighbours and their distance in Å.
Space group P2_1/m (No. 11)
Unique sites:
Ga 0.0817 0.2500 0.1486  1 Pd 2.57, 3 Ga 2.65-2.87
Ga 0.3371 0.7500 0.3977  3 Pd 2.64-2.72, 4 Ga 2.87-2.92
Ga 0.3511 0.7500 0.0156  3 Ga 2.65-2.84, 3 Pd 2.65
Sn 0.1508 0.2500 0.6526  2 Pd 2.88, 1 Ga 3.07, 2 Sn 3.20
Pd 0.4976 0.7500 0.7500  7 Ga 2.57-2.72



21.
## Rb2TiRuI6 (PBE)

Data for a relaxed Rb2TiRuI6 crystal.

Output
E_form (uncorrected)   -0.603 eV per atom
Total magnetization   2.00 μB per formula unit
Density of states at the Fermi level   0.63 states/eV per atom

abc: 8.0184 8.0184 11.3274
angles: 90.00 90.00 90.00
Last column: nearest neighbours and their distance in Å.
Space group I4/mmm (No. 139)
Unique sites:
Rb 0.0000 0.5000 0.2500  12 I 4.01
Ti 0.0000 0.0000 0.0000  6 I 2.87
Ru 0.0000 0.0000 0.5000  6 I 2.79-2.80
I 0.0000 0.0000 0.2537  1 Ru 2.79, 1 Ti 2.87
I 0.2466 0.2466 0.5000  1 Ru 2.80, 1 Ti 2.87



22.
## NbCo2Sn (PBE)

Data for a relaxed NbCo2Sn crystal.

Output
Total magnetization   0.60 μB per formula unit
Density of states at the Fermi level   1.17 states/eV per atom
VASP energy   -7.118 eV per atom

abc: 3.2006 3.2006 5.8846
angles: 90.00 90.00 90.00
Last column: nearest neighbours and their distance in Å.
Space group P4/mmm (No. 123)
Unique sites:
Nb 0.0000 0.0000 0.0000  8 Co 2.62
Co 0.5000 0.5000 0.2252  4 Nb 2.62, 1 Co 2.65, 4 Sn 2.78
Sn 0.0000 0.0000 0.5000  8 Co 2.78, 2 Nb 2.94



23.
## K2VPbS4 (PBE)

Data for a relaxed K2VPbS4 crystal.

Output
E_form (uncorrected)   -0.892 eV per atom
Total magnetization   1.00 μB per formula unit
Density of states at the Fermi level   0.31 states/eV per atom

abc: 9.5361 8.3911 6.4517
angles: 90.00 90.00 90.00
Last column: nearest neighbours and their distance in Å.
Space group Pmn2_1 (No. 31)
Unique sites:
K 0.2452 0.1729 0.0000  5 S 3.02-3.37
V 0.0000 0.6628 0.0526  4 S 2.21-2.25
Pb 0.0000 0.3308 0.5183  2 S 2.63-2.74
S 0.0000 0.4111 0.9308  1 V 2.25
S 0.0000 0.6293 0.3949  1 V 2.23
S 0.1957 0.7942 0.9865  1 V 2.21



24.
## Nd3Sm2YTe6 (PBE)

Data for a relaxed Nd3Sm2YTe6 crystal.

Output
E_form (uncorrected)   -1.393 eV per atom
Total magnetization   0.00 μB per formula unit
Density of states at the Fermi level   0.54 states/eV per atom

abc: 19.4439 4.4307 8.9787
angles: 90.00 103.43 90.00
Last column: nearest neighbours and their distance in Å.
Space group C2/m (No. 12)
Unique sites:
Nd 0.0000 0.0000 0.0000  6 Te 3.16-3.20
Nd 0.1692 0.5000 0.3337  6 Te 3.16-3.21
Sm 0.1681 0.5000 0.8355  6 Te 3.12-3.17
Y 0.0000 0.0000 0.5000  6 Te 3.08-3.10
Te 0.9996 0.5000 0.2575  2 Y 3.10, 1 Sm 3.17, 3 Nd 3.20-3.21
Te 0.1628 0.0000 0.5845  1 Y 3.08, 2 Sm 3.14, 3 Nd 3.18
Te 0.1669 0.0000 0.0809  3 Sm 3.12-3.13, 3 Nd 3.16



25.
## SrNdHo2S4 (PBE)

Data for a relaxed SrNdHo2S4 crystal.

Output
E_form (uncorrected)   -2.006 eV per atom
Total magnetization   0.00 μB per formula unit
Density of states at the Fermi level   0.35 states/eV per atom

abc: 6.9563 3.9823 6.9878
angles: 90.00 108.97 90.00
Last column: nearest neighbours and their distance in Å.
Space group P2/m (No. 10)
Unique sites:
Sr 0.0000 0.0000 0.0000  6 S 2.92-2.93
Nd 0.5000 0.5000 0.0000  6 S 2.91
Ho 0.0000 0.5000 0.5000  6 S 2.77
Ho 0.5000 0.0000 0.5000  6 S 2.76
S 0.2451 0.0000 0.7316  3 Ho 2.76-2.77, 2 Nd 2.91, 1 Sr 2.92
S 0.2587 0.5000 0.2704  3 Ho 2.76-2.77, 1 Nd 2.91, 2 Sr 2.93